This record from Alexandria via LeMat-Bulk describes an optimized crystal structure of CsNiGe2. The functional is PBE-GGA.

The formation energy from the elements is 0.0174 eV/atom. The value obtained for the energy is -3.9500 eV/atom.

It has space group I4_1/amd (No. 141, origin choice 2), with a = 6.124 Å, b = 6.124 Å, c = 13.126 Å, α = 90.00°, β = 90.00° and γ = 90.00°. The asymmetric unit holds Cs at (0.000, 0.250, 0.375), Ni at (0.000, 0.250, 0.875) and Ge at (0.000, 0.000, 0.000).